A plane-wave DFT calculation with GGA+U was carried out for V2CrGeO6 after structural relaxation.

## Properties
VASP energy (eV/atom): -7.4918
Mass density (g cm⁻³): 5.1
Total magnetic moment (μB per cell): 2.0

```
V2CrGeO6
1.0
-2.887 2.651 3.348
-4.862 1.223 -1.194
-4.019 -2.611 2.570
V Cr Ge O
2 1 1 6
Direct
0.520 0.520 0.441 V
0.019 0.019 0.942 V
0.818 0.818 0.547 Cr
0.315 0.315 0.055 Ge
0.586 0.220 0.252 O
0.220 0.942 0.252 O
0.942 0.586 0.252 O
0.439 0.691 0.758 O
0.691 0.112 0.758 O
0.112 0.439 0.758 O
```